No. 1
{"formula": "Cu2Pd12Pt5", "functional": "GGA-PBE", "state": "optimized geometry", "crystal_system": "monoclinic", "n_ef_per_ev_cell": 39.28, "formation_energy_ev_per_atom": 0.09, "lattice_angstrom": [[6.151, -3.749, 0.000], [6.151, 3.749, 0.000], [-0.156, 0.000, 6.439]], "species": ["Cu", "Cu", "Pd", "Pd", "Pd", "Pd", "Pd", "Pd", "Pd", "Pd", "Pd", "Pd", "Pd", "Pd", "Pt", "Pt", "Pt", "Pt", "Pt"], "fractional_positions": [[0.185, 0.815, 0.000], [0.815, 0.185, 0.000], [0.054, 0.054, 0.323], [0.079, 0.676, 0.338], [0.157, 0.530, 0.762], [0.324, 0.921, 0.662], [0.413, 0.413, 0.109], [0.470, 0.843, 0.238], [0.530, 0.157, 0.762], [0.587, 0.587, 0.891], [0.676, 0.079, 0.338], [0.843, 0.470, 0.238], [0.921, 0.324, 0.662], [0.946, 0.946, 0.677], [0.194, 0.194, 0.001], [0.266, 0.266, 0.417], [0.500, 0.500, 0.500], [0.734, 0.734, 0.583], [0.806, 0.806, 0.999]]}



No. 2
{"formula": "YRu2Au", "functional": "GGA-PBE", "state": "optimized geometry", "crystal_system": "tetragonal", "n_ef_per_ev_cell": 4.18, "formation_energy_ev_per_atom": -0.05, "lattice_angstrom": [[4.126, 0.000, 0.000], [0.000, 4.126, 0.000], [0.000, 0.000, 4.104]], "species": ["Y", "Ru", "Ru", "Au"], "fractional_positions": [[0.000, 0.000, 0.000], [0.000, 0.500, 0.500], [0.500, 0.000, 0.500], [0.500, 0.500, 0.000]]}



What did the first record say?
{"formula": "Cu2Pd12Pt5", "functional": "GGA-PBE", "state": "optimized geometry", "crystal_system": "monoclinic", "n_ef_per_ev_cell": 39.28, "formation_energy_ev_per_atom": 0.09, "lattice_angstrom": [[6.151, -3.749, 0.000], [6.151, 3.749, 0.000], [-0.156, 0.000, 6.439]], "species": ["Cu", "Cu", "Pd", "Pd", "Pd", "Pd", "Pd", "Pd", "Pd", "Pd", "Pd", "Pd", "Pd", "Pd", "Pt", "Pt", "Pt", "Pt", "Pt"], "fractional_positions": [[0.185, 0.815, 0.000], [0.815, 0.185, 0.000], [0.054, 0.054, 0.323], [0.079, 0.676, 0.338], [0.157, 0.530, 0.762], [0.324, 0.921, 0.662], [0.413, 0.413, 0.109], [0.470, 0.843, 0.238], [0.530, 0.157, 0.762], [0.587, 0.587, 0.891], [0.676, 0.079, 0.338], [0.843, 0.470, 0.238], [0.921, 0.324, 0.662], [0.946, 0.946, 0.677], [0.194, 0.194, 0.001], [0.266, 0.266, 0.417], [0.500, 0.500, 0.500], [0.734, 0.734, 0.583], [0.806, 0.806, 0.999]]}